# 1
DFT (PBE) results for a relaxed structure of Pu6InPd8.

It has space group R-3 (No. 148, hexagonal axes), with a = 8.2303 Å, b = 8.2303 Å, c = 16.3081 Å, α = 90.00°, β = 90.00° and γ = 120.00°. Symmetry generates all atoms from Pu at (0.0169, 0.7683, 0.4005), In at (0.0000, 0.0000, 0.0000), Pd at (0.0000, 0.0000, 0.2458) and Pd at (0.0409, 0.7606, 0.8956).

The energy relative to the elements is -0.321 eV/atom.



# 2
DFT (PBE) results for a relaxed structure of PuIn2Pd.

It has space group R3m (No. 160, hexagonal axes), with a = 3.3016 Å, b = 3.3016 Å, c = 28.8051 Å, α = 90.00°, β = 90.00° and γ = 120.00°. Symmetry generates all atoms from Pu at (0.0000, 0.0000, 0.0000), In at (0.0000, 0.0000, 0.5710), In at (0.0000, 0.0000, 0.7621) and Pd at (0.0000, 0.0000, 0.1667).

The energy relative to the elements is -0.204 eV/atom. The excess energy over the best structure of this formula in the dataset is 0.1904 eV per atom.



# 3
DFT (PBE) results for a relaxed structure of PuInPd14.

It has space group P4/mmm (No. 123), with a = 5.748 Å, b = 5.748 Å, c = 7.862 Å, α = 90.00°, β = 90.00° and γ = 90.00°. Symmetry generates all atoms from Pu at (0.000, 0.000, 0.000), In at (0.500, 0.500, 0.000), Pd at (0.000, 0.000, 0.500), Pd at (0.000, 0.500, 0.000), Pd at (0.000, 0.500, 0.500), Pd at (0.251, 0.251, 0.254) and Pd at (0.500, 0.500, 0.500).

The energy relative to the elements is -0.249 eV/atom.



# 4
DFT (PBE) results for a relaxed structure of PuIn2Pd2.

It has space group P4/mbm (No. 127), with a = 8.285 Å, b = 8.285 Å, c = 2.971 Å, α = 90.00°, β = 90.00° and γ = 90.00°. Symmetry generates all atoms from Pu at (0.000, 0.000, 0.000), In at (0.127, 0.373, 0.000) and Pd at (0.171, 0.671, 0.500).

The energy relative to the elements is -0.393 eV/atom.



# 5
DFT (PBE) results for a relaxed structure of PuIn9Pd2.

It has space group I4_1/amd (No. 141, origin choice 2), with a = 12.603 Å, b = 12.603 Å, c = 7.266 Å, α = 90.00°, β = 90.00° and γ = 90.00°. Symmetry generates all atoms from Pu at (0.000, 0.250, 0.375), In at (0.000, 0.250, 0.875), In at (0.121, 0.068, 0.668) and Pd at (0.000, 0.000, 0.000).

The energy relative to the elements is -0.125 eV/atom.



# 6
DFT (PBE) results for a relaxed structure of Pu2In3Pd4.

It has space group Cmce (No. 64), with a = 6.003 Å, b = 17.017 Å, c = 7.424 Å, α = 90.00°, β = 90.00° and γ = 90.00°. Symmetry generates all atoms from Pu at (0.000, 0.097, 0.093), In at (0.000, 0.000, 0.500), In at (0.250, 0.238, 0.750), Pd at (0.000, 0.164, 0.476) and Pd at (0.250, 0.074, 0.750).

The energy relative to the elements is -0.480 eV/atom. The excess energy over the best structure of this formula in the dataset is 0.0000 eV per atom.



The lowest energy relative to the elements belongs to which entry? Pu2In3Pd4